MnReTcSe | the Alexandria database | GGA-PBE | optimized geometry; formation energy without anion corrections = 0.254 eV per atom; total DFT energy (no corrections) = -8.61 eV/atom; symmetry = P1; volume = 14.7 A^3/atom; crystal system = triclinic
1.0
2.9273 0.0000 0.0000
-1.4605 4.3107 0.0000
-0.0019 -0.1867 4.6727
Mn Re Tc Se
1 1 1 1
Direct
0.0000 0.0000 0.0000
0.7174 0.4368 0.2022
0.2790 0.5596 0.7409
0.9924 0.9894 0.4992